Below is YZr2Sc after structural relaxation, with properties calculated at the PBE-GGA level.

The space group is P4/mmm (No. 123) and the conventional cell measures 3.262, 3.262 and 9.414 Å, with angles of 90.00, 90.00 and 90.00 degrees. The distinct sites, in fractional coordinates, are Y at (0.000, 0.000, 0.000), Zr at (0.500, 0.500, 0.262) and Sc at (0.000, 0.000, 0.500).

The energy above the most stable polymorph in this dataset comes out at 0.058 eV per atom. The calculation puts the formation energy at 0.087 eV per atom.

---

Below is YZr2Sc after structural relaxation, with properties calculated at the PBE-GGA level.

The space group is Cm (No. 8) and the conventional cell measures 10.760, 3.259 and 5.845 Å, with angles of 90.00, 98.71 and 90.00 degrees. The distinct sites, in fractional coordinates, are Y at (0.000, 0.000, 0.000), Zr at (0.001, 0.500, 0.509), Zr at (0.246, 0.000, 0.726) and Sc at (0.256, 0.500, 0.268).

The energy above the most stable polymorph in this dataset comes out at 0.057 eV per atom. The calculation puts the formation energy at 0.086 eV per atom.

---

Below is YZr2Sc8 after structural relaxation, with properties calculated at the PBE-GGA level.

The space group is C2/m (No. 12) and the conventional cell measures 15.890, 6.072 and 5.809 Å, with angles of 90.00, 92.51 and 90.00 degrees. The distinct sites, in fractional coordinates, are Y at (0.000, 0.000, 0.000), Zr at (0.248, 0.500, 0.324), Sc at (0.098, 0.252, 0.525), Sc at (0.103, 0.500, 0.021) and Sc at (0.210, 0.000, 0.179).

The energy above the most stable polymorph in this dataset comes out at 0.000 eV per atom. The calculation puts the formation energy at 0.138 eV per atom.

---

Below is YZrSc2 after structural relaxation, with properties calculated at the PBE-GGA level.

The space group is R3m (No. 160, hexagonal axes) and the conventional cell measures 3.3384, 3.3384 and 32.0516 Å, with angles of 90.00, 90.00 and 120.00 degrees. The distinct sites, in fractional coordinates, are Y at (0.0000, 0.0000, 0.0000), Zr at (0.0000, 0.0000, 0.8346), Sc at (0.0000, 0.0000, 0.2457) and Sc at (0.0000, 0.0000, 0.4227).

The energy above the most stable polymorph in this dataset comes out at 0.025 eV per atom. The calculation puts the formation energy at 0.053 eV per atom.

---

Below is YZr2Sc after structural relaxation, with properties calculated at the PBE-GGA level.

The space group is P2/m (No. 10) and the conventional cell measures 3.243, 5.220 and 6.168 Å, with angles of 90.00, 102.76 and 90.00 degrees. The distinct sites, in fractional coordinates, are Y at (0.000, 0.000, 0.000), Zr at (0.333, 0.500, 0.726) and Sc at (0.500, 0.000, 0.500).

The energy above the most stable polymorph in this dataset comes out at 0.108 eV per atom. The calculation puts the formation energy at 0.137 eV per atom.

---

Below is Y4Zr2Sc after structural relaxation, with properties calculated at the PBE-GGA level.

The space group is I4/mmm (No. 139) and the conventional cell measures 5.574, 5.574 and 14.656 Å, with angles of 90.00, 90.00 and 90.00 degrees. The distinct sites, in fractional coordinates, are Y at (0.000, 0.000, 0.198), Y at (0.000, 0.500, 0.000), Zr at (0.000, 0.000, 0.403) and Sc at (0.000, 0.000, 0.000).

The calculation puts the formation energy at 0.804 eV per atom.

---

| no. | energy (eV/cell) |
| --- | --- |
| 1 | -29.544 |
| 2 | -59.097 |
| 3 | -145.394 |
| 4 | -82.391 |
| 5 | -29.345 |
| 6 | -87.308 |